In2SiOs after structural relaxation. Source: Alexandria, functional PBE.

Cell lengths 4.7735, 4.7735, 3.2261 Å; angles 90.00, 90.00, 90.00 degrees
Closest atoms and distances in Å follow each position.
Atoms (fractional coordinates):
In 0.0000 0.0000 0.0000  4 Os 2.88, 4 Si 2.88, 2 In 3.23
In 0.5000 0.5000 0.0000  4 Os 2.88, 4 Si 2.88, 2 In 3.23
Os 0.5000 0.0000 0.5000  8 In 2.88, 2 Os 3.23
Si 0.0000 0.5000 0.5000  8 In 2.88, 2 Si 3.23

Output
size of the total moment	0.00	μB/f.u.
ΔE_f (raw)	2.52	eV per formula unit
DOS at the Fermi energy	1.962	states/eV/cell
space-group type	P4/mmm
V	74	Å³/cell

AlZn2Cl after structural relaxation. Source: Alexandria, functional PBE.

Cell lengths 6.3019, 6.3019, 6.9076 Å; angles 62.86, 62.86, 90.00 degrees
Closest atoms and distances in Å follow each position.
Atoms (fractional coordinates):
Zn 0.6127 0.1250 0.2500  2 Al 2.54, 2 Cl 2.64
Zn 0.1373 0.6250 0.2500  2 Al 2.54, 2 Cl 2.64
Zn 0.3750 0.3873 0.7500  2 Al 2.54, 2 Cl 2.64
Zn 0.8750 0.8627 0.7500  2 Al 2.54, 2 Cl 2.64
Al 0.5000 0.5000 0.0000  4 Zn 2.54
Al 0.2500 0.7500 0.5000  4 Zn 2.54
Cl 0.0000 0.0000 0.0000  4 Zn 2.64
Cl 0.7500 0.2500 0.5000  4 Zn 2.64

Output
size of the total moment	0.00	μB/f.u.
ΔE_f (raw)	0.16	eV per formula unit
DOS at the Fermi energy	0.197	states/eV/cell
space-group type	I-42d
excess energy over the best structure of this formula in the dataset	185.3	meV/atom
V	210	Å³/cell